No. 1
First-principles (PBEsol) data for an optimized crystal structure of CaMgPb2, as listed in Alexandria.

Output
E_form   -361 meV per atom

Unit cell a=4.476 b=4.886 c=4.886 alpha=90.00 beta=90.00 gamma=90.00
Element x y z (fractional)
Pb: 0.500 0.000 0.500
Pb: 0.500 0.500 0.000
Mg: 0.000 0.000 0.000
Ca: 0.000 0.500 0.500


No. 2
First-principles (PBEsol) data for an optimized crystal structure of Ru2PtW, as listed in Alexandria.

Output
E_form   -82 meV per atom
Energy above the lowest structure with this stoichiometry   0.38 eV/f.u.

Unit cell a=3.896 b=3.896 c=4.651 alpha=114.76 beta=114.76 gamma=90.00
Element x y z (fractional)
W: 0.000 0.000 0.000
Ru: 0.250 0.750 0.500
Ru: 0.750 0.250 0.500
Pt: 0.500 0.500 0.000


No. 3
First-principles (PBEsol) data for an optimized crystal structure of As2PbAu, as listed in Alexandria.

Output
E_form   56 meV per atom

Unit cell a=3.979 b=3.979 c=6.860 alpha=73.14 beta=73.14 gamma=60.00
Element x y z (fractional)
As: 0.732 0.732 0.803
As: 0.268 0.268 0.197
Pb: 0.500 0.500 0.500
Au: 0.000 0.000 0.000


No. 4
First-principles (PBEsol) data for an optimized crystal structure of KRuPt2, as listed in Alexandria.

Output
E_form   715 meV per atom
Energy above the lowest structure with this stoichiometry   0.96 eV/f.u.

Unit cell a=2.689 b=5.136 c=5.939 alpha=115.62 beta=103.09 gamma=90.00
Element x y z (fractional)
Ru: 0.500 0.000 0.000
Pt: 0.785 0.785 0.570
Pt: 0.215 0.215 0.430
K: 0.000 0.500 0.000


No. 5
First-principles (PBEsol) data for an optimized crystal structure of SrTe2HN, as listed in Alexandria.

Output
Energy above the lowest structure with this stoichiometry   4.57 eV/f.u.

Unit cell a=4.892 b=6.389 c=6.389 alpha=90.00 beta=90.00 gamma=90.00
Element x y z (fractional)
N: 0.500 0.000 0.000
Te: 0.000 0.500 0.000
Te: 0.000 0.000 0.500
H: 0.500 0.500 0.500
Sr: 0.000 0.000 0.000


No. 6
First-principles (PBEsol) data for an optimized crystal structure of SrMg2Rh2, as listed in Alexandria.

Output
E_form   -247 meV per atom
Energy above the lowest structure with this stoichiometry   0.00 eV/f.u.

Unit cell a=3.083 b=7.753 c=7.753 alpha=90.00 beta=90.00 gamma=90.00
Element x y z (fractional)
Mg: 0.500 0.635 0.865
Mg: 0.500 0.865 0.365
Mg: 0.500 0.135 0.635
Mg: 0.500 0.365 0.135
Sr: 0.000 0.000 0.000
Sr: 0.000 0.500 0.500
Rh: 0.000 0.155 0.345
Rh: 0.000 0.345 0.845
Rh: 0.000 0.655 0.155
Rh: 0.000 0.845 0.655


No. 7
First-principles (PBEsol) data for an optimized crystal structure of La2CrAs, as listed in Alexandria.

Output
E_form   77 meV per atom

Unit cell a=5.015 b=5.015 c=5.015 alpha=60.00 beta=60.00 gamma=60.00
Element x y z (fractional)
La: 0.750 0.750 0.750
La: 0.000 0.000 0.000
Cr: 0.250 0.250 0.250
As: 0.500 0.500 0.500


No. 8
First-principles (PBEsol) data for an optimized crystal structure of AsPdBr2, as listed in Alexandria.

Output
Formation energy (no corrections)   318 meV per atom

Unit cell a=4.726 b=4.726 c=8.910 alpha=105.38 beta=105.38 gamma=90.00
Element x y z (fractional)
As: 0.750 0.250 0.500
As: 0.500 0.500 0.000
Pd: 0.250 0.750 0.500
Pd: 0.000 0.000 0.000
Br: 0.884 0.375 0.250
Br: 0.125 0.116 0.750
Br: 0.366 0.875 0.250
Br: 0.625 0.634 0.750


No. 9
First-principles (PBEsol) data for an optimized crystal structure of OsPb2Se, as listed in Alexandria.

Output
Formation energy (no corrections)   409 meV per atom

Unit cell a=4.457 b=4.821 c=4.821 alpha=112.91 beta=90.00 gamma=90.00
Element x y z (fractional)
Pb: 0.500 0.696 0.304
Pb: 0.000 0.068 0.932
Se: 0.000 0.426 0.574
Os: 0.500 0.303 0.697


No. 10
First-principles (PBEsol) data for an optimized crystal structure of LaMn2Ni, as listed in Alexandria.

Output
E_form   387 meV per atom

Unit cell a=4.555 b=4.554 c=4.555 alpha=120.00 beta=90.00 gamma=120.00
Element x y z (fractional)
La: 0.250 0.500 0.750
Ni: 0.500 0.000 0.500
Mn: 0.000 0.000 0.000
Mn: 0.750 0.500 0.250


No. 11
First-principles (PBEsol) data for an optimized crystal structure of CdSi2O, as listed in Alexandria.

Output
Formation energy (no corrections)   537 meV per atom

Unit cell a=4.362 b=4.362 c=4.362 alpha=60.00 beta=60.00 gamma=60.00
Element x y z (fractional)
O: 0.000 0.000 0.000
Si: 0.250 0.250 0.250
Si: 0.750 0.750 0.750
Cd: 0.500 0.500 0.500


No. 12
First-principles (PBEsol) data for an optimized crystal structure of LaHRh3, as listed in Alexandria.

Output
Energy above the lowest structure with this stoichiometry   0.00 eV/f.u.

Unit cell a=4.100 b=4.100 c=4.100 alpha=90.00 beta=90.00 gamma=90.00
Element x y z (fractional)
La: 0.500 0.500 0.500
Rh: 0.000 0.500 0.000
Rh: 0.500 0.000 0.000
Rh: 0.000 0.000 0.500
H: 0.000 0.000 0.000


No. 13
First-principles (PBEsol) data for an optimized crystal structure of La3Tl, as listed in Alexandria.

Output
E_form   -205 meV per atom
Energy above the lowest structure with this stoichiometry   0.31 eV/f.u.

Unit cell a=3.933 b=5.634 c=6.721 alpha=114.78 beta=107.02 gamma=90.00
Element x y z (fractional)
La: 0.270 0.270 0.541
La: 0.500 0.000 0.000
La: 0.730 0.730 0.459
Tl: 0.000 0.500 0.000


No. 14
First-principles (PBEsol) data for an optimized crystal structure of Rb2LiSbI6, as listed in Alexandria.

Output
Formation energy (no corrections)   -938 meV per atom

Unit cell a=8.297 b=8.297 c=8.297 alpha=60.00 beta=60.00 gamma=60.00
Element x y z (fractional)
I: 0.253 0.253 0.747
I: 0.253 0.747 0.253
I: 0.253 0.747 0.747
I: 0.747 0.747 0.253
I: 0.747 0.253 0.253
I: 0.747 0.253 0.747
Li: 0.500 0.500 0.500
Rb: 0.750 0.750 0.750
Rb: 0.250 0.250 0.250
Sb: 0.000 0.000 0.000


| no. | E_tot (eV/cell) | DOS(E_F) (states/eV/cell) |
| --- | --- | --- |
| 1 | -13.293 | 1.71 |
| 2 | -41.445 | 3.47 |
| 3 | -17.912 | 2.01 |
| 4 | -22.371 | 4.94 |
| 5 | -14.029 | 5.30 |
| 6 | -45.572 | 2.60 |
| 7 | -25.732 | 4.45 |
| 8 | -27.064 | 5.31 |
| 9 | -22.426 | 2.94 |
| 10 | -29.478 | 2.69 |
| 11 | -15.793 | 2.14 |
| 12 | -34.937 | 3.57 |
| 13 | -19.488 | 5.12 |
| 14 | -28.553 | 0.00 |